# KAg2Se | the Alexandria database | GGA-PBE | optimized geometry
data_KAg2Se
_chemical_formula_sum 'K1 Ag2 Se1'
_cell_length_a 3.9295
_cell_length_b 3.9295
_cell_length_c 6.5532
_cell_angle_alpha 90.00
_cell_angle_beta 90.00
_cell_angle_gamma 90.02
_space_group_name_H-M_alt 'P 1'
_space_group_IT_number 1
_space_group_name_Hall 'P 1'
loop_
_atom_site_label
_atom_site_type_symbol
_atom_site_fract_x
_atom_site_fract_y
_atom_site_fract_z
Ag1 Ag 0.0000 0.0000 0.9556
Ag2 Ag 0.0000 0.0000 0.5444
K1 K 0.5000 0.5000 0.2500
Se1 Se 0.5000 0.5000 0.7500
# Fermi-level density of states = 0.870 states/eV/atom
# formation energy from raw total energies = 0.108 eV per atom
# energy = -2.463 eV/atom